CrIn3F: optimized geometry, PBE with a Hubbard U.

- Energy relative to the lowest polymorph listed for this composition: 0.0 meV/atom
- Crystal system: cubic
- VASP energy: -17.5 eV for the cell shown

```
5
Lattice="-1.9067 -0.7782 4.9288 0.3223 -5.2845 -0.7097 4.9794 0.0441 1.9332" Properties=species:S:1:pos:R:3 pbc="T T T"
Cr 0.0000 0.0000 0.0000
F 1.6975 -3.0093 3.0761
In 0.1611 -2.6423 -0.3548
In 2.4897 0.0220 0.9666
In -0.9533 -0.3891 2.4644
```